DFT (PBE-GGA) results for a relaxed BaWSe crystal. Values from VASP.

Cell and atoms, written as Quantum ESPRESSO input:
```
&SYSTEM
  ibrav = 0, nat = 3, ntyp = 3
/
ATOMIC_SPECIES
Ba 137.33 Ba.upf
W 183.84 W.upf
Se 78.96 Se.upf
CELL_PARAMETERS angstrom
-1.7044 1.7044 6.2644
1.7044 -1.7044 6.2644
1.7044 1.7044 -6.2644
ATOMIC_POSITIONS crystal
Ba 0.0000 0.0000 0.0000
W 0.2987 0.2987 0.0000
Se 0.7147 0.7147 0.0000
```

total magnetic moment: 0.0 μB per cell
uncorrected energy: -5.8944 eV per atom
polymorph energy (0 for the lowest one): 0 meV/atom
D(E_F): 2.1 states/eV per cell
E_form (uncorrected): 226 meV per atom